Below is a geometry-optimized ScTa2Mn structure, with properties calculated at the PBE-GGA level.

Output
The value obtained for the total DFT energy (no corrections) is -9.343 eV per atom. The calculation puts the energy above the lowest structure with this stoichiometry at 431 meV per atom.

a b c (Å): 7.3072 7.3072 5.8645
angles (deg): 51.46 51.46 90.00
Closest atoms and distances in Å follow each position.
Element x y z (fractional)
Sc 0.5000 0.5000 0.0000  2 Mn 2.77, 8 Ta 2.98-3.11
Sc 0.2500 0.7500 0.5000  2 Mn 2.77, 8 Ta 2.98-3.11
Mn 0.0000 0.0000 0.0000  4 Ta 2.41
Mn 0.7500 0.2500 0.5000  4 Ta 2.41
Ta 0.6825 0.1250 0.2500  2 Mn 2.41
Ta 0.0675 0.6250 0.2500  2 Mn 2.41
Ta 0.3750 0.3175 0.7500  2 Mn 2.41
Ta 0.8750 0.9325 0.7500  2 Mn 2.41


Below is a geometry-optimized ScTaMn2 structure, with properties calculated at the PBE-GGA level.

Output
The value obtained for the total DFT energy (no corrections) is -8.933 eV per atom.

a b c (Å): 5.2471 5.2471 5.2471
angles (deg): 138.21 138.21 60.58
Closest atoms and distances in Å follow each position.
Element x y z (fractional)
Mn 0.0000 0.0000 0.0000  4 Sc 2.65, 4 Mn 2.94, 4 Ta 2.94
Mn 0.2500 0.7500 0.5000  4 Ta 2.65, 4 Mn 2.94, 4 Sc 2.94
Sc 0.5000 0.5000 0.0000  8 Mn 2.65-2.94, 4 Ta 2.94
Ta 0.7500 0.2500 0.5000  8 Mn 2.65-2.94, 4 Sc 2.94


Below is a geometry-optimized ScTaMn2 structure, with properties calculated at the PBE-GGA level.

Output
The value obtained for the total DFT energy (no corrections) is -8.855 eV per atom.

a b c (Å): 4.4247 4.4247 4.4247
angles (deg): 60.00 60.00 60.00
Closest atoms and distances in Å follow each position.
Element x y z (fractional)
Mn 0.0000 0.0000 0.0000  4 Ta 2.71, 4 Mn 2.71
Mn 0.7500 0.7500 0.7500  4 Sc 2.71, 4 Mn 2.71
Sc 0.5000 0.5000 0.5000  4 Ta 2.71, 4 Mn 2.71
Ta 0.2500 0.2500 0.2500  4 Sc 2.71, 4 Mn 2.71


Below is a geometry-optimized ScTaMn2 structure, with properties calculated at the PBE-GGA level.

Output
The value obtained for the total DFT energy (no corrections) is -8.815 eV per atom.

a b c (Å): 9.0781 9.0781 9.0781
angles (deg): 18.56 18.56 18.56
Closest atoms and distances in Å follow each position.
Element x y z (fractional)
Mn 0.9928 0.9928 0.9928  3 Mn 2.46
Mn 0.2591 0.2591 0.2591  3 Mn 2.46
Sc 0.5062 0.5062 0.5062  3 Mn 2.86, 6 Sc 2.93, 3 Ta 3.11
Ta 0.7419 0.7419 0.7419  3 Mn 2.78, 6 Ta 2.93, 3 Sc 3.11


Below is a geometry-optimized ScTa2Mn structure, with properties calculated at the PBE-GGA level.

Output
The value obtained for the total DFT energy (no corrections) is -9.702 eV per atom. The calculation puts the energy above the lowest structure with this stoichiometry at 73 meV per atom.

a b c (Å): 5.4043 5.4043 4.6867
angles (deg): 64.29 64.29 34.00
Closest atoms and distances in Å follow each position.
Element x y z (fractional)
Mn 0.4898 0.4898 0.5103  2 Ta 2.50, 2 Sc 2.69
Sc 0.2260 0.2260 0.2739  2 Mn 2.69, 6 Ta 2.87-3.01
Ta 0.0043 0.0043 0.9957  4 Mn 2.83, 6 Ta 2.99-3.16, 4 Sc 3.01-3.11
Ta 0.7798 0.7798 0.7201  2 Mn 2.50


Below is a geometry-optimized ScTaMn2 structure, with properties calculated at the PBE-GGA level.

Output
The value obtained for the total DFT energy (no corrections) is -9.040 eV per atom.

a b c (Å): 2.8225 2.8225 7.7190
angles (deg): 90.00 90.00 89.96
Closest atoms and distances in Å follow each position.
Element x y z (fractional)
Mn 0.0000 0.0000 0.0451  4 Mn 2.33
Mn 0.5000 0.5000 0.1998  4 Mn 2.33
Sc 0.0000 0.0000 0.4568  4 Mn 2.81, 4 Sc 2.82
Ta 0.5000 0.5000 0.7982  4 Mn 2.76, 4 Ta 2.82


Below is a geometry-optimized ScTaMn2 structure, with properties calculated at the PBE-GGA level.

Output
The value obtained for the total DFT energy (no corrections) is -8.857 eV per atom.

a b c (Å): 3.1924 4.7344 4.1087
angles (deg): 90.00 90.00 90.00
Closest atoms and distances in Å follow each position.
Element x y z (fractional)
Mn 0.0000 0.0000 0.0000  4 Sc 2.60, 4 Mn 2.86
Mn 0.5000 0.5000 0.0000  4 Ta 2.60, 4 Mn 2.86
Sc 0.5000 0.0000 0.5000  4 Mn 2.60, 4 Ta 2.86
Ta 0.0000 0.5000 0.5000  4 Mn 2.60, 4 Sc 2.86


Below is a geometry-optimized Sc2TaMn structure, with properties calculated at the PBE-GGA level.

Output
The value obtained for the total DFT energy (no corrections) is -7.828 eV per atom. The calculation puts the energy above the lowest structure with this stoichiometry at 593 meV per atom.

a b c (Å): 7.4621 7.4621 5.9603
angles (deg): 51.25 51.25 90.00
Closest atoms and distances in Å follow each position.
Element x y z (fractional)
Sc 0.5868 0.1250 0.2500  2 Mn 2.54, 2 Sc 2.83
Sc 0.1632 0.6250 0.2500  2 Mn 2.54, 2 Sc 2.83
Sc 0.3750 0.4132 0.7500  2 Mn 2.54, 2 Sc 2.83
Sc 0.8750 0.8368 0.7500  2 Mn 2.54, 2 Sc 2.83
Mn 0.5000 0.5000 0.0000  4 Sc 2.54, 2 Ta 2.77
Mn 0.2500 0.7500 0.5000  4 Sc 2.54, 2 Ta 2.77
Ta 0.0000 0.0000 0.0000  2 Mn 2.77, 4 Sc 2.93
Ta 0.7500 0.2500 0.5000  2 Mn 2.77, 4 Sc 2.93


Below is a geometry-optimized ScTaMn2 structure, with properties calculated at the PBE-GGA level.

Output
The value obtained for the total DFT energy (no corrections) is -9.188 eV per atom.

a b c (Å): 3.1058 3.1057 6.3220
angles (deg): 90.00 90.00 90.00
Closest atoms and distances in Å follow each position.
Element x y z (fractional)
Mn 0.0000 0.0000 0.9766  4 Ta 2.62, 4 Sc 2.79, 1 Mn 2.87
Mn 0.0000 0.0000 0.5234  4 Ta 2.62, 4 Sc 2.79, 1 Mn 2.87
Sc 0.5000 0.5000 0.2500  8 Mn 2.79, 4 Sc 3.11
Ta 0.5000 0.5000 0.7500  8 Mn 2.62


Below is a geometry-optimized ScTa2Mn structure, with properties calculated at the PBE-GGA level.

Output
The value obtained for the total DFT energy (no corrections) is -9.478 eV per atom. The calculation puts the energy above the lowest structure with this stoichiometry at 297 meV per atom.

a b c (Å): 5.3563 5.3563 2.8350
angles (deg): 90.00 90.00 117.42
Closest atoms and distances in Å follow each position.
Element x y z (fractional)
Mn 0.5000 0.0000 0.5000  2 Sc 2.78, 2 Mn 2.83, 8 Ta 3.03
Sc 0.0000 0.5000 0.5000  2 Mn 2.78, 2 Sc 2.83, 8 Ta 3.03
Ta 0.0000 0.0000 0.0000  4 Ta 2.78-2.83, 4 Mn 3.03, 4 Sc 3.03
Ta 0.5000 0.5000 0.0000  4 Ta 2.78-2.83, 4 Sc 3.03, 4 Mn 3.03


Below is a geometry-optimized ScTa2Mn structure, with properties calculated at the PBE-GGA level.

Output
The value obtained for the total DFT energy (no corrections) is -9.595 eV per atom. The calculation puts the energy above the lowest structure with this stoichiometry at 180 meV per atom.

a b c (Å): 3.2401 4.5591 4.7599
angles (deg): 90.00 90.00 90.00
Closest atoms and distances in Å follow each position.
Element x y z (fractional)
Mn 0.5000 0.0000 0.5000  4 Sc 2.80, 4 Ta 2.88
Sc 0.0000 0.5000 0.5000  4 Mn 2.80, 4 Ta 2.88
Ta 0.0000 0.0000 0.0000  4 Ta 2.80, 4 Mn 2.88
Ta 0.5000 0.5000 0.0000  4 Ta 2.80, 4 Sc 2.88


Below is a geometry-optimized ScTa2Mn structure, with properties calculated at the PBE-GGA level.

Output
The value obtained for the total DFT energy (no corrections) is -9.559 eV per atom. The calculation puts the energy above the lowest structure with this stoichiometry at 216 meV per atom.

a b c (Å): 4.5418 4.5418 4.5418
angles (deg): 60.00 60.00 60.00
Closest atoms and distances in Å follow each position.
Element x y z (fractional)
Sc 0.0000 0.0000 0.0000  8 Ta 2.78
Mn 0.5000 0.5000 0.5000  8 Ta 2.78
Ta 0.2500 0.2500 0.2500  4 Mn 2.78, 4 Sc 2.78
Ta 0.7500 0.7500 0.7500  4 Mn 2.78, 4 Sc 2.78


Q: What is the total DFT energy (no corrections) in the fourth record?
A: -8.815 eV per atom


Q: total DFT energy (no corrections) of number 8 (Sc2TaMn)?
A: -7.828 eV per atom


Q: What is the total DFT energy (no corrections) in the seventh record?
A: -8.857 eV per atom